Mn2IrSe: relaxed, PBE-GGA.

POSCAR file:
```
Mn2IrSe
1.0
1.3935 0.8045 7.9052
-1.3935 0.8045 7.9052
0.0000 -1.6090 7.9052
Mn Ir Se
2 1 1
Direct
0.2464 0.2464 0.2464
0.7536 0.7536 0.7536
0.0000 0.0000 0.0000
0.5000 0.5000 0.5000
```

Energy relative to the elements, uncorrected (meV per atom): 231
Electronic total energy (eV/atom): -7.4398
SG: No. 166